This record from Alexandria via LeMat-Bulk describes HfBi3F after structural relaxation. The functional is PBE.

CIF file:
```
data_HfBi3F
_chemical_formula_sum 'Hf1 Bi3 F1'
_cell_length_a 5.5653
_cell_length_b 5.5653
_cell_length_c 5.5653
_cell_angle_alpha 90.00
_cell_angle_beta 90.00
_cell_angle_gamma 90.00
_symmetry_space_group_name_H-M 'P m -3 m'
_symmetry_Int_Tables_number 221
_symmetry_space_group_name_Hall '-P 4 2 3'
loop_
_atom_site_label
_atom_site_fract_x
_atom_site_fract_y
_atom_site_fract_z
_atom_site_occupancy
Hf1 0.0000 0.0000 0.0000 1
Bi1 0.0000 0.0000 0.5000 1
F1 0.5000 0.5000 0.5000 1
```

Computed properties:
E above lowest polymorph, meV/atom: 143.8
Magnetization, Bohr magnetons per cell: 0.00
Energy, eV/atom: -4.7251
E_form (uncorrected), eV per atom: -0.0316
Calculated volume, A^3/atom: 34.475